No. 1
BeSi2Au | SCAN | single point on PBEsol structure

As for the formation energy without anion corrections: 0.502 eV/atom. The density of states at the Fermi level is 2.6 states/eV per cell. The total energy comes out at -183.07 eV/cell.

The structure belongs to space group Cmmm (No. 65); the cell edges are 2.617, 5.241 and 8.558 Å and the angles 90.00°, 90.00° and 90.00°. The inequivalent atoms are Be at (0.000, 0.000, 0.000), Si at (0.000, 0.500, 0.226) and Au at (0.000, 0.000, 0.500).


No. 2
BeSn2Au2 | SCAN | single point on PBEsol structure

The density of states at the Fermi level is 4.2 states/eV per cell. The formation energy is 0.39 eV per atom. The total energy comes out at -425.09 eV/cell.

The structure belongs to space group I4/mmm (No. 139); the cell edges are 3.725, 3.725 and 15.159 Å and the angles 90.00°, 90.00° and 90.00°. The inequivalent atoms are Be at (0.000, 0.000, 0.000), Sn at (0.000, 0.000, 0.402) and Au at (0.000, 0.500, 0.250).


No. 3
SrBeAu3 | SCAN | single point on PBEsol structure

The density of states at the Fermi level is 1.2 states/eV per cell. The formation energy is -0.61 eV per atom. The energy above the most stable polymorph in this dataset comes out at 0.0 meV/atom. The total energy comes out at -237.17 eV/cell.

The structure belongs to space group Pm-3m (No. 221); the cell edges are 4.600, 4.600 and 4.600 Å and the angles 90.00°, 90.00° and 90.00°. The inequivalent atoms are Sr at (0.000, 0.000, 0.000), Be at (0.500, 0.500, 0.500) and Au at (0.000, 0.500, 0.500).